VASP calculation (PBE) on a relaxed Cd2GaSn crystal.

Lattice parameters (Å, degrees): 3.6240 3.6240 7.2224 90.00 90.00 90.00
Positions (direct):
Sn 0.5000 0.5000 0.5000
Ga 0.5000 0.5000 0.0000
Cd 0.0000 0.0000 0.7738
Cd 0.0000 0.0000 0.2262

Values from the calculation:
Total moment (μB per cell): 0.000
ΔE_f (meV per atom): 80
Density (g/cm³): 7.2
DOS(E_F) (states/eV per cell): 0.86
Crystal system: tetragonal
Excess energy over the best structure of this formula in the dataset (meV/atom): 28.4



VASP calculation (PBE) on a relaxed CaOsCl2 crystal.

Lattice parameters (Å, degrees): 3.8726 4.6310 4.6285 84.16 90.00 90.00
Positions (direct):
Ca 0.5000 0.7500 0.7500
Os 0.5000 0.2500 0.2500
Cl 0.0000 0.0426 0.0427
Cl 0.0000 0.4574 0.4573

Values from the calculation:
Uncorrected formation energy (eV per formula unit): -0.93
Total moment (μB per cell): 0.000
Density (g/cm³): 6.1
DOS(E_F) (states/eV per cell): 0.51
Crystal system: orthorhombic
Excess energy over the best structure of this formula in the dataset (meV/atom): 177.8



VASP calculation (PBE) on a relaxed Y3TlCl crystal.

Lattice parameters (Å, degrees): 5.1556 5.1556 5.1556 90.00 90.00 90.00
Positions (direct):
Y 0.0000 0.5000 0.0000
Y 0.0000 0.0000 0.5000
Y 0.5000 0.0000 0.0000
Tl 0.5000 0.5000 0.5000
Cl 0.0000 0.0000 0.0000

Values from the calculation:
Uncorrected formation energy (eV per formula unit): -2.46
Total moment (μB per cell): 0.000
Density (g/cm³): 6.1
DOS(E_F) (states/eV per cell): 6.50
Crystal system: cubic
Excess energy over the best structure of this formula in the dataset (meV/atom): 0.0



VASP calculation (PBE) on a relaxed Mg2HIrPt crystal.

Lattice parameters (Å, degrees): 4.3546 4.3546 3.4579 90.00 90.00 90.00
Positions (direct):
H 0.0000 0.0000 0.0000
Mg 0.0000 0.5000 0.0000
Mg 0.5000 0.0000 0.0000
Ir 0.5000 0.5000 0.5000
Pt 0.0000 0.0000 0.5000

Values from the calculation:
Total moment (μB per cell): 0.000
Density (g/cm³): 11.1
DOS(E_F) (states/eV per cell): 0.38
Crystal system: tetragonal
Excess energy over the best structure of this formula in the dataset (meV/atom): 94.7



VASP calculation (PBE) on a relaxed Ti3Fe crystal.

Lattice parameters (Å, degrees): 3.0210 4.4414 5.2011 115.28 106.88 90.00
Positions (direct):
Fe 0.0000 0.9166 0.0000
Ti 0.2779 0.6946 0.5558
Ti 0.5000 0.4167 0.0000
Ti 0.7221 0.1388 0.4442

Values from the calculation:
Total moment (μB per cell): 0.000
ΔE_f (meV per atom): -180
Density (g/cm³): 5.5
DOS(E_F) (states/eV per cell): 4.81
Crystal system: orthorhombic



VASP calculation (PBE) on a relaxed Sb2W crystal.

Lattice parameters (Å, degrees): 7.8542 7.8542 3.5299 90.00 90.00 120.00
Positions (direct):
Sb 0.2765 0.0000 0.0000
Sb 0.0000 0.2765 0.0000
Sb 0.7235 0.7235 0.0000
Sb 0.6155 0.0000 0.5000
Sb 0.0000 0.6155 0.5000
Sb 0.3845 0.3845 0.5000
W 0.3333 0.6667 0.0000
W 0.6667 0.3333 0.0000
W 0.0000 0.0000 0.5000

Values from the calculation:
Uncorrected formation energy (eV per formula unit): 1.14
Total moment (μB per cell): 0.000
Density (g/cm³): 11.3
DOS(E_F) (states/eV per cell): 5.77
Crystal system: hexagonal
Excess energy over the best structure of this formula in the dataset (meV/atom): 100.4



VASP calculation (PBE) on a relaxed Ce2PmGe2 crystal.

Lattice parameters (Å, degrees): 5.4331 5.4058 8.9378 103.68 90.00 90.00
Positions (direct):
Ce 0.2500 0.6809 0.8570
Ce 0.7500 0.3191 0.1430
Ce 0.2500 0.3637 0.4505
Ce 0.7500 0.6363 0.5495
Pm 0.2500 0.8197 0.2318
Pm 0.7500 0.1803 0.7682
Ge 0.2500 0.9300 0.5987
Ge 0.7500 0.0700 0.4013
Ge 0.2500 0.2516 0.0306
Ge 0.7500 0.7484 0.9694

Values from the calculation:
Total moment (μB per cell): 2.690
ΔE_f (meV per atom): -520
Density (g/cm³): 7.4
DOS(E_F) (states/eV per cell): 17.83
Crystal system: monoclinic
Excess energy over the best structure of this formula in the dataset (meV/atom): 172.0



VASP calculation (PBE) on a relaxed PuAgH2 crystal.

Lattice parameters (Å, degrees): 2.9426 2.9426 6.4240 90.00 90.00 90.00
Positions (direct):
H 0.0000 0.0000 0.8395
H 0.0000 0.0000 0.1605
Ag 0.5000 0.5000 0.5000
Pu 0.5000 0.5000 0.0000

Values from the calculation:
Total moment (μB per cell): 5.623
Density (g/cm³): 10.6
DOS(E_F) (states/eV per cell): 4.97
Crystal system: tetragonal



VASP calculation (PBE) on a relaxed Tb2CeEr2 crystal.

Lattice parameters (Å, degrees): 4.4709 4.4709 8.8675 104.60 104.60 90.00
Positions (direct):
Tb 0.4062 0.4062 0.8125
Tb 0.5938 0.5938 0.1875
Ce 0.0000 0.0000 0.0000
Er 0.7500 0.2500 0.5000
Er 0.2500 0.7500 0.5000

Values from the calculation:
Total moment (μB per cell): 0.930
ΔE_f (meV per atom): 409
Density (g/cm³): 7.9
DOS(E_F) (states/eV per cell): 11.82
Crystal system: tetragonal
Excess energy over the best structure of this formula in the dataset (meV/atom): 0.0



VASP calculation (PBE) on a relaxed MnTl2Br4 crystal.

Lattice parameters (Å, degrees): 7.5766 7.6155 9.2490 90.00 108.36 90.00
Positions (direct):
Mn 0.2732 0.7500 0.2017
Mn 0.7268 0.2500 0.7983
Tl 0.7215 0.7500 0.0528
Tl 0.2785 0.2500 0.9472
Tl 0.2390 0.2500 0.4337
Tl 0.7610 0.7500 0.5663
Br 0.4959 0.4973 0.2645
Br 0.0887 0.7500 0.9264
Br 0.9113 0.2500 0.0736
Br 0.4959 0.0027 0.2645
Br 0.9247 0.2500 0.6286
Br 0.5041 0.9973 0.7355
Br 0.5041 0.5027 0.7355
Br 0.0753 0.7500 0.3714

Values from the calculation:
Uncorrected formation energy (eV per formula unit): -5.86
Total moment (μB per cell): 10.000
Density (g/cm³): 5.1
DOS(E_F) (states/eV per cell): 0.00
Crystal system: monoclinic
Excess energy over the best structure of this formula in the dataset (meV/atom): 0.0



VASP calculation (PBE) on a relaxed Cd4Ag2Pd crystal.

Lattice parameters (Å, degrees): 4.5782 4.5782 7.6170 107.49 107.49 90.00
Positions (direct):
Cd 0.3862 0.8862 0.7725
Cd 0.8862 0.3862 0.7725
Cd 0.6138 0.1138 0.2275
Cd 0.1138 0.6138 0.2275
Ag 0.7550 0.7550 0.5100
Ag 0.2450 0.2450 0.4900
Pd 0.0000 0.0000 0.0000

Values from the calculation:
Total moment (μB per cell): 0.000
ΔE_f (meV per atom): -129
Density (g/cm³): 8.9
DOS(E_F) (states/eV per cell): 2.01
Crystal system: tetragonal
Excess energy over the best structure of this formula in the dataset (meV/atom): 0.0



VASP calculation (PBE) on a relaxed CsPrS2O6 crystal.

Lattice parameters (Å, degrees): 6.9135 6.9135 8.2691 104.91 104.91 97.66
Positions (direct):
Cs 0.1508 0.8492 0.2500
Cs 0.8492 0.1508 0.7500
Pr 0.5587 0.4413 0.2500
Pr 0.4413 0.5587 0.7500
S 0.3405 0.0984 0.7913
S 0.9016 0.6595 0.7087
S 0.6595 0.9016 0.2087
S 0.0984 0.3405 0.2913
O 0.9208 0.4509 0.2606
O 0.5491 0.0792 0.2394
O 0.0792 0.5491 0.7394
O 0.4509 0.9208 0.7606
O 0.1752 0.3112 0.1284
O 0.6888 0.8248 0.3716
O 0.8248 0.6888 0.8716
O 0.3112 0.1752 0.6284
O 0.2907 0.5051 0.4304
O 0.4949 0.7093 0.0696
O 0.7093 0.4949 0.5696
O 0.5051 0.2907 0.9304

Values from the calculation:
Uncorrected formation energy (eV per formula unit): -20.03
Total moment (μB per cell): 0.000
Density (g/cm³): 4.0
DOS(E_F) (states/eV per cell): 0.00
Crystal system: monoclinic



Number 1: electronic total energy -2.135 eV per atom. Number 2: electronic total energy -4.464 eV per atom. Number 3: electronic total energy -5.212 eV per atom. Number 4: electronic total energy -4.709 eV per atom. Number 5: electronic total energy -8.216 eV per atom. Number 6: electronic total energy -6.687 eV per atom. Number 7: electronic total energy -5.691 eV per atom. Number 8: electronic total energy -5.866 eV per atom. Number 9: electronic total energy -4.455 eV per atom. Number 10: electronic total energy -3.779 eV per atom. Number 11: electronic total energy -2.209 eV per atom. Number 12: electronic total energy -6.367 eV per atom.